The following is a PBE calculation of crystalline HoHg4Pb at its relaxed geometry, from Alexandria.

For the total energy, the calculation gives -10.39 eV per cell. As for the symmetry: P4/mmm (123). Its formation energy is -0.149 eV per atom. The value obtained for the energy above the most stable polymorph in this dataset is 47 meV/atom. The density of states at the Fermi level comes out at 0.60 states/eV/atom.

a b c (Å): 3.7953 3.7953 10.7700
angles (deg): 90.01 90.01 89.95
Fractional coordinates of all 6 atoms:
1 Hg 0.4996 0.4996 0.1837
2 Hg 0.0004 0.0004 0.6597
3 Pb 0.0000 0.0000 0.0000
4 Hg 0.9996 0.9996 0.3403
5 Ho 0.5000 0.5000 0.5000
6 Hg 0.5004 0.5004 0.8163